No. 1
TeMoP2 | Alexandria | PBE | relaxed; spin magnetization = 0.00 Bohr magnetons per cell; ΔE_f (raw) = 0.24 eV per atom; crystal system = orthorhombic
1.0
-4.219 1.056 -1.240
-1.354 -4.042 1.164
-1.369 -0.571 4.171
Mo P Te
1 2 1
Cartesian
-4.294 -3.174 3.661
-2.579 -4.367 5.055
-2.555 -0.228 0.253
-1.597 -2.706 3.130

---

No. 2
Te2MoP2 | Alexandria | PBE | relaxed; spin magnetization = 0.05 Bohr magnetons per cell; ΔE_f (raw) = 1.86 eV per atom; crystal system = tetragonal
1.0
-3.147 3.134 2.002
0.489 -2.252 4.292
4.274 3.447 1.322
P Mo Te
2 1 2
Cartesian
0.245 -1.126 2.146
-1.574 1.567 1.001
0.808 2.165 3.808
0.000 0.000 0.000
2.137 1.724 0.661

---

No. 3
TeMo4P | Alexandria | PBE | relaxed; spin magnetization = 0.00 Bohr magnetons per cell; ΔE_f (raw) = 0.66 eV per atom; crystal system = cubic
1.0
2.206 3.627 3.163
-3.014 3.703 2.286
-0.879 -0.153 5.218
Te Mo P
1 4 1
Cartesian
0.000 0.000 0.000
0.460 4.498 5.580
-1.070 2.623 6.599
-2.129 4.536 5.145
-0.634 2.699 4.011
-1.265 5.384 8.001

---

No. 4
TeMo2P | Alexandria | PBE | relaxed; polymorph energy (0 for the lowest one) = 506 meV/atom; spin magnetization = 0.00 Bohr magnetons per cell; ΔE_f (raw) = 0.38 eV per atom; crystal system = tetragonal
1.0
-3.592 -2.894 -0.509
2.610 -3.511 1.547
-2.737 -1.687 7.748
P Mo Te
2 4 2
Cartesian
-0.491 -3.203 0.519
-0.309 -4.201 4.907
-2.311 -2.434 1.854
0.206 -3.213 2.799
-2.209 -3.953 6.326
-3.124 -6.584 6.593
0.000 0.000 0.000
-3.410 -3.892 3.879